An optimized crystal structure of CaAl5Au6. Source: Alexandria via LeMat-Bulk, functional PBE.

a = 4.496 Å, b = 6.839 Å, c = 8.048 Å
α = 115.15°, β = 106.22°, γ = 90.00°
Fractional positions:
Al  0.000  0.500  0.000
Au  0.500  0.284  0.000
Al  0.327  0.327  0.653
Au  0.175  0.444  0.351
Al  0.341  0.841  0.681
Au  0.825  0.556  0.649
Al  0.659  0.159  0.319
Au  0.175  0.907  0.351
Ca  0.000  0.000  0.000
Al  0.673  0.673  0.347
Au  0.825  0.093  0.649
Au  0.500  0.716  0.000

## Properties
Formation energy from the elements = -0.356 eV/atom
Total magnetic moment = 0.00 μB per cell



An optimized crystal structure of Ca3Al4Au4. Source: Alexandria via LeMat-Bulk, functional PBE.

a = 4.351 Å, b = 7.293 Å, c = 8.420 Å
α = 115.66°, β = 104.97°, γ = 90.00°
Fractional positions:
Ca  0.000  0.500  0.000
Al  0.324  0.131  0.648
Au  0.500  0.794  0.000
Au  0.500  0.206  0.000
Ca  0.122  0.122  0.244
Al  0.324  0.517  0.648
Ca  0.878  0.878  0.756
Au  0.219  0.719  0.437
Al  0.676  0.869  0.352
Au  0.781  0.281  0.563
Al  0.676  0.483  0.352

## Properties
Formation energy from the elements = -0.688 eV/atom
Total magnetic moment = 0.00 μB per cell
Energy above the lowest structure with this stoichiometry = 0 meV/atom



An optimized crystal structure of CaAlAu11. Source: Alexandria via LeMat-Bulk, functional PBE.

a = 5.561 Å, b = 7.158 Å, c = 7.265 Å
α = 82.48°, β = 67.50°, γ = 70.00°
Fractional positions:
Al  0.500  0.500  0.000
Au  0.337  0.650  0.659
Au  0.690  0.779  0.790
Au  0.663  0.350  0.341
Au  0.500  0.000  0.500
Au  0.004  0.350  0.659
Au  0.000  0.500  0.000
Ca  0.000  0.000  0.000
Au  0.000  0.000  0.500
Au  0.480  0.779  0.210
Au  0.520  0.221  0.790
Au  0.310  0.221  0.210
Au  0.996  0.650  0.341

## Properties
Formation energy from the elements = -0.258 eV/atom
Total magnetic moment = 0.00 μB per cell



An optimized crystal structure of Ca3Al6Au5. Source: Alexandria via LeMat-Bulk, functional PBE.

a = 4.332 Å, b = 9.884 Å, c = 12.974 Å
α = 90.00°, β = 90.00°, γ = 90.00°
Fractional positions:
Au  0.000  0.536  0.117
Au  0.500  0.464  0.617
Au  0.500  0.140  0.842
Au  0.500  0.140  0.158
Al  0.500  0.013  0.345
Ca  0.500  0.755  0.193
Ca  0.000  0.245  0.693
Au  0.000  0.536  0.883
Al  0.500  0.013  0.655
Al  0.500  0.410  0.181
Ca  0.000  0.245  0.307
Al  0.500  0.410  0.819
Au  0.500  0.464  0.383
Au  0.500  0.193  0.500
Al  0.500  0.571  0.000
Al  0.000  0.987  0.845
Au  0.000  0.860  0.342
Au  0.000  0.807  0.000
Au  0.000  0.860  0.658
Al  0.000  0.029  0.500
Al  0.000  0.987  0.155
Al  0.500  0.971  0.000
Al  0.000  0.429  0.500
Ca  0.000  0.258  0.000
Al  0.000  0.590  0.319
Ca  0.500  0.755  0.807
Ca  0.500  0.742  0.500
Al  0.000  0.590  0.681

## Properties
Formation energy from the elements = -0.625 eV/atom
Total magnetic moment = 0.00 μB per cell



An optimized crystal structure of Ca3AlAu. Source: Alexandria via LeMat-Bulk, functional PBE.

a = 5.623 Å, b = 5.623 Å, c = 5.623 Å
α = 90.00°, β = 90.00°, γ = 90.00°
Fractional positions:
Ca  0.000  0.500  0.000
Au  0.000  0.000  0.000
Al  0.500  0.500  0.500
Ca  0.500  0.000  0.000
Ca  0.000  0.000  0.500

## Properties
Formation energy from the elements = -0.118 eV/atom
Total magnetic moment = 0.00 μB per cell
Energy above the lowest structure with this stoichiometry = 0 meV/atom



An optimized crystal structure of CaAl2Au. Source: Alexandria via LeMat-Bulk, functional PBE.

a = 4.105 Å, b = 4.105 Å, c = 10.200 Å
α = 90.00°, β = 90.00°, γ = 90.00°
Fractional positions:
Al  0.500  0.500  0.500
Au  0.000  0.500  0.330
Au  0.500  0.000  0.670
Ca  0.000  0.500  0.765
Al  0.000  0.500  0.067
Ca  0.500  0.000  0.235
Al  0.000  0.000  0.500
Al  0.500  0.000  0.933

## Properties
Formation energy from the elements = -0.449 eV/atom
Total magnetic moment = 0.00 μB per cell



An optimized crystal structure of CaAl4Au6. Source: Alexandria via LeMat-Bulk, functional PBE.

a = 6.804 Å, b = 6.804 Å, c = 6.804 Å
α = 89.45°, β = 120.32°, γ = 120.32°
Fractional positions:
Ca  0.000  0.000  0.000
Au  0.596  0.113  0.113
Al  0.677  0.432  0.432
Au  0.000  0.482  0.887
Au  0.404  0.518  0.518
Au  0.000  0.887  0.482
Al  0.323  0.756  0.756
Al  0.000  0.568  0.244
Al  0.000  0.244  0.568
Au  0.500  0.500  0.000
Au  0.500  0.000  0.500

## Properties
Formation energy from the elements = -0.378 eV/atom
Total magnetic moment = 0.00 μB per cell
Energy above the lowest structure with this stoichiometry = 105 meV/atom



An optimized crystal structure of Ca2AlAu7. Source: Alexandria via LeMat-Bulk, functional PBE.

a = 7.105 Å, b = 7.105 Å, c = 7.105 Å
α = 60.00°, β = 60.00°, γ = 60.00°
Fractional positions:
Ca  0.250  0.250  0.250
Ca  0.750  0.750  0.750
Al  0.000  0.000  0.000
Au  0.760  0.240  0.760
Au  0.760  0.760  0.240
Au  0.240  0.240  0.760
Au  0.760  0.240  0.240
Au  0.500  0.500  0.500
Au  0.240  0.760  0.240
Au  0.240  0.760  0.760

## Properties
Formation energy from the elements = -0.238 eV/atom
Total magnetic moment = 0.00 μB per cell



An optimized crystal structure of Ca8AlAu2. Source: Alexandria via LeMat-Bulk, functional PBE.

a = 5.738 Å, b = 8.296 Å, c = 8.296 Å
α = 111.76°, β = 98.30°, γ = 98.30°
Fractional positions:
Ca  0.415  0.937  0.680
Ca  0.584  0.326  0.069
Al  0.002  0.003  0.003
Ca  0.188  0.374  0.374
Ca  0.812  0.632  0.632
Ca  0.000  0.241  0.765
Au  0.500  0.687  0.320
Ca  0.415  0.680  0.937
Ca  0.584  0.069  0.326
Au  0.500  0.320  0.687
Ca  0.000  0.765  0.241

## Properties
Formation energy from the elements = -0.346 eV/atom
Total magnetic moment = 0.00 μB per cell



An optimized crystal structure of Ca2Al3Au5. Source: Alexandria via LeMat-Bulk, functional PBE.

a = 4.517 Å, b = 7.135 Å, c = 12.580 Å
α = 90.00°, β = 100.34°, γ = 90.00°
Fractional positions:
Au  0.051  0.507  0.102
Al  0.389  0.008  0.778
Al  0.219  0.311  0.438
Au  0.286  0.018  0.571
Au  0.601  0.883  0.202
Au  0.295  0.593  0.589
Au  0.705  0.093  0.411
Al  0.611  0.508  0.222
Al  0.949  0.385  0.898
Ca  0.180  0.781  0.359
Au  0.399  0.383  0.798
Ca  0.521  0.196  0.041
Au  0.949  0.007  0.898
Al  0.781  0.811  0.562
Au  0.714  0.518  0.429
Ca  0.479  0.696  0.959
Al  0.051  0.885  0.102
Ca  0.820  0.281  0.641
Au  0.119  0.184  0.239
Au  0.881  0.684  0.761

## Properties
Formation energy from the elements = -0.589 eV/atom
Total magnetic moment = 0.00 μB per cell



An optimized crystal structure of CaAl5Au3. Source: Alexandria via LeMat-Bulk, functional PBE.

a = 4.044 Å, b = 6.981 Å, c = 13.113 Å
α = 90.00°, β = 90.00°, γ = 106.83°
Fractional positions:
Au  0.617  0.234  0.444
Al  0.558  0.117  0.853
Al  0.442  0.883  0.353
Al  0.195  0.390  0.563
Au  0.617  0.234  0.056
Ca  0.849  0.699  0.750
Al  0.195  0.390  0.937
Ca  0.151  0.301  0.250
Al  0.805  0.610  0.437
Al  0.805  0.610  0.063
Al  0.442  0.883  0.147
Au  0.383  0.766  0.944
Al  0.000  0.000  0.000
Au  0.136  0.272  0.750
Au  0.383  0.766  0.556
Au  0.864  0.728  0.250
Al  0.558  0.117  0.647
Al  0.000  0.000  0.500

## Properties
Formation energy from the elements = -0.457 eV/atom
Total magnetic moment = 0.00 μB per cell



An optimized crystal structure of CaAl4Au. Source: Alexandria via LeMat-Bulk, functional PBE.

a = 5.509 Å, b = 5.509 Å, c = 5.509 Å
α = 60.00°, β = 60.00°, γ = 60.00°
Fractional positions:
Al  0.374  0.878  0.374
Al  0.374  0.374  0.878
Al  0.878  0.374  0.374
Al  0.374  0.374  0.374
Ca  0.000  0.000  0.000
Au  0.750  0.750  0.750

## Properties
Formation energy from the elements = -0.097 eV/atom
Total magnetic moment = 0.00 μB per cell



An optimized crystal structure of CaAl3Au. Source: Alexandria via LeMat-Bulk, functional PBE.

a = 5.550 Å, b = 5.550 Å, c = 5.550 Å
α = 90.00°, β = 90.00°, γ = 90.00°
Fractional positions:
Al  0.000  0.000  0.500
Au  0.500  0.500  0.500
Al  0.000  0.500  0.000
Al  0.500  0.000  0.000
Ca  0.000  0.000  0.000

## Properties
Formation energy from the elements = 1.338 eV/atom
Total magnetic moment = 0.00 μB per cell



An optimized crystal structure of Ca5Al2Au12. Source: Alexandria via LeMat-Bulk, functional PBE.

a = 6.833 Å, b = 7.627 Å, c = 8.688 Å
α = 63.96°, β = 86.89°, γ = 90.00°
Fractional positions:
Au  0.096  0.094  0.812
Al  0.000  0.283  0.000
Au  0.904  0.906  0.188
Ca  0.500  0.000  0.000
Al  0.000  0.717  0.000
Au  0.652  0.591  0.206
Au  0.731  0.556  0.887
Au  0.750  0.333  0.705
Au  0.348  0.797  0.794
Ca  0.049  0.698  0.603
Au  0.348  0.409  0.794
Au  0.652  0.203  0.206
Au  0.250  0.038  0.295
Au  0.269  0.444  0.113
Ca  0.571  0.757  0.486
Ca  0.429  0.243  0.514
Au  0.250  0.667  0.295
Au  0.750  0.962  0.705
Ca  0.951  0.302  0.397

## Properties
Formation energy from the elements = -0.603 eV/atom
Total magnetic moment = 0.00 μB per cell



An optimized crystal structure of Ca3Al2Au6. Source: Alexandria via LeMat-Bulk, functional PBE.

a = 8.634 Å, b = 8.634 Å, c = 8.634 Å
α = 109.47°, β = 109.47°, γ = 109.47°
Fractional positions:
Au  0.690  0.690  0.380
Au  0.310  0.690  0.000
Au  0.380  0.690  0.690
Ca  0.000  0.696  0.696
Au  0.310  0.310  0.620
Au  0.690  0.000  0.310
Ca  0.304  0.304  0.000
Al  0.000  0.000  0.500
Au  0.310  0.620  0.310
Au  0.000  0.690  0.310
Au  0.690  0.310  0.000
Au  0.620  0.310  0.310
Ca  0.696  0.696  0.000
Al  0.000  0.500  0.000
Au  0.000  0.310  0.690
Au  0.690  0.380  0.690
Ca  0.000  0.304  0.304
Au  0.310  0.000  0.690
Al  0.500  0.500  0.500
Ca  0.304  0.000  0.304
Al  0.500  0.000  0.000
Ca  0.696  0.000  0.696

## Properties
Formation energy from the elements = -0.618 eV/atom
Total magnetic moment = 0.00 μB per cell



An optimized crystal structure of CaAl2Au. Source: Alexandria via LeMat-Bulk, functional PBE.

a = 5.876 Å, b = 5.876 Å, c = 5.000 Å
α = 64.72°, β = 64.72°, γ = 33.23°
Fractional positions:
Al  0.535  0.535  0.465
Al  0.965  0.965  0.035
Au  0.250  0.250  0.250
Ca  0.750  0.750  0.750

## Properties
Formation energy from the elements = -0.280 eV/atom
Total magnetic moment = 0.00 μB per cell



An optimized crystal structure of CaAl6Au12. Source: Alexandria via LeMat-Bulk, functional PBE.

a = 7.504 Å, b = 7.504 Å, c = 7.504 Å
α = 105.87°, β = 105.87°, γ = 105.87°
Fractional positions:
Al  0.692  0.282  0.282
Au  0.500  0.119  0.881
Au  0.119  0.881  0.500
Au  0.380  0.380  0.131
Au  0.500  0.881  0.119
Au  0.620  0.869  0.620
Al  0.282  0.282  0.692
Au  0.869  0.620  0.620
Au  0.131  0.380  0.380
Au  0.881  0.119  0.500
Au  0.620  0.620  0.869
Au  0.380  0.131  0.380
Al  0.308  0.718  0.718
Al  0.718  0.718  0.308
Al  0.282  0.692  0.282
Ca  0.000  0.000  0.000
Au  0.881  0.500  0.119
Al  0.718  0.308  0.718
Au  0.119  0.500  0.881

## Properties
Formation energy from the elements = -0.351 eV/atom
Total magnetic moment = 0.00 μB per cell
Energy above the lowest structure with this stoichiometry = 0 meV/atom



An optimized crystal structure of CaAl2Au7. Source: Alexandria via LeMat-Bulk, functional PBE.

a = 4.625 Å, b = 7.478 Å, c = 7.424 Å
α = 120.24°, β = 90.00°, γ = 90.00°
Fractional positions:
Au  0.000  0.629  0.257
Au  0.500  0.500  0.000
Au  0.500  0.694  0.762
Al  0.500  0.285  0.569
Al  0.500  0.715  0.431
Au  0.500  0.069  0.762
Au  0.500  0.306  0.238
Ca  0.000  0.000  0.000
Au  0.000  0.371  0.743
Au  0.500  0.931  0.238

## Properties
Formation energy from the elements = -0.323 eV/atom
Total magnetic moment = 0.00 μB per cell



An optimized crystal structure of CaAl3Au6. Source: Alexandria via LeMat-Bulk, functional PBE.

a = 6.188 Å, b = 6.246 Å, c = 6.136 Å
α = 103.50°, β = 110.53°, γ = 106.57°
Fractional positions:
Au  0.116  0.739  0.242
Au  0.268  0.063  0.735
Al  0.465  0.167  0.418
Au  0.449  0.474  0.200
Au  0.904  0.321  0.787
Au  0.201  0.426  0.521
Au  0.770  0.960  0.286
Al  0.318  0.757  0.937
Al  0.745  0.301  0.117
Ca  0.765  0.792  0.758

## Properties
Formation energy from the elements = -0.438 eV/atom
Total magnetic moment = 0.00 μB per cell